The following is a PBE calculation of BaIrCO5 after structural relaxation, from Alexandria.

Summary:
The uncorrected formation energy is -1240 meV per atom. The magnetization is 1.065 μB per cell. As for the theoretical density: 7.118 g/cm3.

```
BaIrCO5
1.0
-2.264 4.990 -1.340
-3.204 -3.911 -2.500
-1.204 -0.787 7.016
Ba Ir C O
2 2 2 10
Cartesian
-3.172 -0.957 -0.335 Ba
-3.500 1.248 3.511 Ba
-0.602 -0.394 3.508 Ir
0.000 0.000 0.000 Ir
-2.843 2.159 0.071 C
-3.829 -1.869 3.105 C
-3.438 -3.473 -0.663 O
-3.234 3.764 3.839 O
-3.135 3.082 -0.938 O
-3.537 -2.792 4.114 O
-2.395 2.716 1.273 O
-4.277 -2.425 1.903 O
-4.032 1.370 0.407 O
-2.641 -1.079 2.769 O
-1.834 1.254 -0.486 O
-4.838 -0.964 3.662 O
```

---

The following is a PBE calculation of Na3Pm2TiSe6 after structural relaxation, from Alexandria.

Summary:
The uncorrected formation energy is -1473 meV per atom. The magnetization is 1.004 μB per cell. As for the theoretical density: 4.757 g/cm3.

```
Na3Pm2TiSe6
1.0
-5.657 2.538 -3.485
5.189 -3.296 -3.577
-3.134 -5.877 3.235
Na Pm Ti Se
3 2 1 6
Cartesian
1.775 -5.242 -1.944 Na
-5.378 -1.394 -1.883 Na
-1.801 -3.318 -1.913 Na
1.582 -1.356 -3.547 Pm
-2.049 0.598 -3.516 Pm
0.000 0.000 0.000 Ti
-4.451 -4.217 -2.917 Se
-1.060 -1.896 -4.713 Se
0.849 -2.418 -0.909 Se
-1.105 -6.018 -2.946 Se
-2.542 -4.740 0.886 Se
-2.497 -0.618 -0.881 Se
```

---

The following is a PBE calculation of NaCdAu after structural relaxation, from Alexandria.

Summary:
The calculation puts the polymorph energy (0 for the lowest one) at 33 meV per atom. The formation energy is -212.9 meV per atom. The magnetization is 0.000 μB per cell. As for the theoretical density: 7.152 g/cm3.

```
NaCdAu
1.0
4.779 0.000 0.000
2.389 4.139 0.000
2.389 1.380 3.902
Na Au Cd
1 1 1
Cartesian
4.779 2.759 1.951 Na
2.389 1.380 0.975 Au
0.000 0.000 0.000 Cd
```

---

The following is a PBE calculation of Pr2Sm5DyTm after structural relaxation, from Alexandria.

Summary:
The formation energy is 273.5 meV per atom. The magnetization is 0.000 μB per cell. As for the theoretical density: 7.399 g/cm3.

```
Pr2Sm5DyTm
1.0
8.622 0.000 0.000
0.000 8.622 0.000
-4.311 -4.311 8.242
Pr Sm Dy Tm
4 10 2 2
Cartesian
1.043 3.268 0.000 Pr
5.354 1.043 0.000 Pr
3.268 7.578 0.000 Pr
7.578 5.354 0.000 Pr
6.747 2.436 2.364 Sm
2.436 -1.875 5.878 Sm
-2.436 1.875 5.878 Sm
-1.875 -2.436 5.878 Sm
1.875 2.436 5.878 Sm
6.186 6.747 2.364 Sm
2.436 1.875 2.364 Sm
1.875 6.186 2.364 Sm
4.311 4.311 0.000 Sm
0.000 0.000 0.000 Sm
0.000 0.000 4.121 Dy
4.311 4.311 4.121 Dy
0.000 4.311 4.121 Tm
4.311 0.000 4.121 Tm
```

---

The following is a PBE calculation of CeEr2PaSb4 after structural relaxation, from Alexandria.

Summary:
The uncorrected formation energy is -912 meV per atom. The magnetization is 1.876 μB per cell. As for the theoretical density: 8.261 g/cm3.

```
CeEr2PaSb4
1.0
4.390 0.000 0.000
0.000 7.621 0.139
0.000 -2.655 7.117
Ce Er Pa Sb
1 2 1 4
Cartesian
0.000 0.000 0.000 Ce
2.195 -1.328 3.558 Er
0.000 2.483 3.628 Er
2.195 3.811 0.070 Pa
2.195 1.271 1.863 Sb
2.195 3.695 5.393 Sb
0.000 -0.059 5.335 Sb
0.000 5.025 1.921 Sb
```

---

The following is a PBE calculation of Mn2VPtN after structural relaxation, from Alexandria.

Summary:
The uncorrected formation energy is -508 meV per atom. The magnetization is 4.561 μB per cell. As for the theoretical density: 10.119 g/cm3.

```
Mn2VPtN
1.0
-1.533 -3.611 -0.327
3.608 -1.484 -0.528
0.359 -0.503 3.867
N Mn Pt V
1 2 1 1
Cartesian
0.000 0.000 0.000 N
1.804 -0.742 -0.264 Mn
-0.767 -1.806 -0.164 Mn
1.217 -2.799 1.506 Pt
0.179 -0.251 1.934 V
```

---

The following is a PBE calculation of KTaSe2 after structural relaxation, from Alexandria.

Summary:
The uncorrected formation energy is 360 meV per atom. The magnetization is 1.751 μB per cell. As for the theoretical density: 6.915 g/cm3.

```
KTaSe2
1.0
6.157 -0.029 0.000
3.470 5.086 0.000
-4.814 -2.528 2.889
K Se Ta
1 2 1
Cartesian
3.079 -0.015 1.445 K
0.000 0.000 0.000 Se
1.735 2.543 1.445 Se
4.814 2.528 0.000 Ta
```

---

The following is a PBE calculation of Na3Os2O8 after structural relaxation, from Alexandria.

Summary:
The uncorrected formation energy is -1225 meV per atom. The magnetization is 1.056 μB per cell. As for the theoretical density: 4.180 g/cm3.

```
Na3Os2O8
1.0
-3.955 -0.330 -6.573
-5.796 -3.451 -0.755
-6.006 3.015 -0.954
Na Os O
3 2 8
Cartesian
-1.978 -0.165 -3.286 Na
-5.955 1.434 -0.905 Na
-5.848 -1.871 -0.804 Na
-6.890 -0.436 -6.931 Os
-8.868 -0.330 -1.351 Os
-11.322 -0.581 -6.949 O
-4.436 -0.185 -1.333 O
-5.930 -0.360 -5.448 O
-9.828 -0.406 -2.834 O
-7.750 -2.283 -6.071 O
-7.870 1.399 -6.184 O
-7.888 -2.166 -2.097 O
-8.008 1.517 -2.210 O
```

---

Look up the theoretical density of the sixth one.
10.119 g/cm3

---

magnetization of number 7 (KTaSe2)?
1.751 μB per cell

---

Which of these has the highest theoretical density?
Mn2VPtN